Compound: Ce2VWN5
Source: Alexandria via LeMat-Bulk
Functional: PBE-GGA
Structure: relaxed

a = 6.747 Å, b = 6.747 Å, c = 10.147 Å
α = 90.00°, β = 90.00°, γ = 151.76°
Fractional positions:
Ce 0.110 0.890 0.500
Ce 0.145 0.855 0.113
Ce 0.855 0.145 0.613
Ce 0.890 0.110 0.000
V 0.467 0.533 0.276
V 0.533 0.467 0.776
W 0.210 0.790 0.822
W 0.790 0.210 0.322
N 0.050 0.950 0.867
N 0.283 0.717 0.461
N 0.319 0.681 0.189
N 0.367 0.633 0.815
N 0.492 0.508 0.601
N 0.508 0.492 0.101
N 0.633 0.367 0.315
N 0.681 0.319 0.689
N 0.717 0.283 0.961
N 0.950 0.050 0.367

Computed properties:
Formation energy without anion corrections (meV per atom): -1116
Symmetry: No. 36
Fermi-level density of states (states/eV/cell): 11.87